## In3Ga2S4 (PBE-GGA)

Data for a geometry-optimized In3Ga2S4 structure.

Formation energy from raw total energies in eV/atom: -0.412

Cell and atoms, written as CIF:
```
data_In3Ga2S4
_space_group_name_H-M_alt 'C 1 2/c 1'
_space_group_IT_number 15
_space_group_name_Hall '-C 2yc'
_cell_length_a 15.3800
_cell_length_b 10.2284
_cell_length_c 6.2610
_cell_angle_alpha 90.00
_cell_angle_beta 99.69
_cell_angle_gamma 90.00
loop_
_atom_site_label
_atom_site_type_symbol
_atom_site_fract_x
_atom_site_fract_y
_atom_site_fract_z
In1 In 0.0000 0.0326 0.2500
In2 In 0.0837 0.3073 0.9675
Ga1 Ga 0.2297 0.1134 0.5764
S1 S 0.1372 0.2847 0.4431
S2 S 0.2100 0.0905 0.9326
```